1.
# Sm3Ga8Au3 | Alexandria via LeMat-Bulk | PBE-GGA | optimized geometry
# magnetic moment: 0.00 μB/f.u.
# E_form: -0.58 eV/atom
# E_tot: -4.02 eV per atom
# distance to the lowest polymorph of the same formula: 0.0 kJ per mole of atoms
data_Sm3Ga8Au3
_chemical_formula_sum 'Sm6 Ga16 Au6'
_cell_length_a 16.049
_cell_length_b 4.419
_cell_length_c 9.959
_cell_angle_alpha 90.00
_cell_angle_beta 127.35
_cell_angle_gamma 90.00
_symmetry_space_group_name_H-M 'C 1 2/m 1'
_symmetry_Int_Tables_number 12
_symmetry_space_group_name_Hall '-C 2y'
loop_
_atom_site_label
_atom_site_type_symbol
_atom_site_fract_x
_atom_site_fract_y
_atom_site_fract_z
Sm1 Sm 0.000 0.000 0.000
Sm2 Sm 0.191 0.500 0.680
Ga1 Ga 0.009 0.500 0.705
Ga2 Ga 0.142 0.000 0.422
Ga3 Ga 0.148 0.000 0.875
Ga4 Ga 0.161 0.500 0.042
Au1 Au 0.000 0.000 0.500
Au2 Au 0.154 0.500 0.294

2.
# Sm3Ga7Au4 | Alexandria via LeMat-Bulk | PBE-GGA | optimized geometry
# magnetic moment: 0.00 μB/f.u.
# E_form: -0.64 eV/atom
# E_tot: -4.10 eV per atom
data_Sm3Ga7Au4
_chemical_formula_sum 'Sm6 Ga14 Au8'
_cell_length_a 16.264
_cell_length_b 4.430
_cell_length_c 9.782
_cell_angle_alpha 90.00
_cell_angle_beta 126.97
_cell_angle_gamma 90.00
_symmetry_space_group_name_H-M 'C 1 2/m 1'
_symmetry_Int_Tables_number 12
_symmetry_space_group_name_Hall '-C 2y'
loop_
_atom_site_label
_atom_site_type_symbol
_atom_site_fract_x
_atom_site_fract_y
_atom_site_fract_z
Sm1 Sm 0.000 0.000 0.000
Sm2 Sm 0.186 0.500 0.690
Ga1 Ga 0.000 0.000 0.500
Ga2 Ga 0.006 0.500 0.299
Ga3 Ga 0.149 0.000 0.872
Ga4 Ga 0.171 0.500 0.300
Au1 Au 0.137 0.000 0.408
Au2 Au 0.153 0.500 0.021

3.
# SmGaAu2 | Alexandria via LeMat-Bulk | PBE-GGA | optimized geometry
# magnetic moment: 0.00 μB/f.u.
# E_form: -0.52 eV/atom
# E_tot: -4.10 eV per atom
data_SmGaAu2
_chemical_formula_sum 'Sm1 Ga1 Au2'
_cell_length_a 3.679
_cell_length_b 3.679
_cell_length_c 6.409
_cell_angle_alpha 90.00
_cell_angle_beta 90.00
_cell_angle_gamma 90.00
_symmetry_space_group_name_H-M 'P 4/m m m'
_symmetry_Int_Tables_number 123
_symmetry_space_group_name_Hall '-P 4 2'
loop_
_atom_site_label
_atom_site_type_symbol
_atom_site_fract_x
_atom_site_fract_y
_atom_site_fract_z
Sm1 Sm 0.000 0.000 0.000
Ga1 Ga 0.000 0.000 0.500
Au1 Au 0.500 0.500 0.265

4.
# Sm2GaAu3 | Alexandria via LeMat-Bulk | PBE-GGA | optimized geometry
# magnetic moment: 0.00 μB/f.u.
# E_form: -0.79 eV/atom
# E_tot: -4.50 eV per atom
# distance to the lowest polymorph of the same formula: 0.0 kJ per mole of atoms
data_Sm2GaAu3
_chemical_formula_sum 'Sm2 Ga1 Au3'
_cell_length_a 3.584
_cell_length_b 4.632
_cell_length_c 8.147
_cell_angle_alpha 90.00
_cell_angle_beta 90.00
_cell_angle_gamma 90.00
_symmetry_space_group_name_H-M 'P m m 2'
_symmetry_Int_Tables_number 25
_symmetry_space_group_name_Hall 'P 2 -2'
loop_
_atom_site_label
_atom_site_type_symbol
_atom_site_fract_x
_atom_site_fract_y
_atom_site_fract_z
Sm1 Sm 0.000 0.000 0.000
Sm2 Sm 0.000 0.500 0.483
Ga1 Ga 0.500 0.500 0.818
Au1 Au 0.500 0.000 0.332
Au2 Au 0.500 0.000 0.674
Au3 Au 0.500 0.500 0.140

5.
# Sm2Ga6Au3 | Alexandria via LeMat-Bulk | PBE-GGA | optimized geometry
# magnetic moment: 0.00 μB/f.u.
# E_form: -0.54 eV/atom
# E_tot: -3.95 eV per atom
data_Sm2Ga6Au3
_chemical_formula_sum 'Sm2 Ga6 Au3'
_cell_length_a 7.9029
_cell_length_b 7.9029
_cell_length_c 4.1949
_cell_angle_alpha 90.00
_cell_angle_beta 90.00
_cell_angle_gamma 120.00
_symmetry_space_group_name_H-M 'P -6 2 m'
_symmetry_Int_Tables_number 189
_symmetry_space_group_name_Hall 'P -6 -2'
loop_
_atom_site_label
_atom_site_type_symbol
_atom_site_fract_x
_atom_site_fract_y
_atom_site_fract_z
Sm1 Sm 0.3333 0.6667 0.0000
Ga1 Ga 0.0000 0.1877 0.0000
Ga2 Ga 0.0000 0.6942 0.5000
Au1 Au 0.0000 0.3722 0.5000

6.
# Sm5Ga2Au | Alexandria via LeMat-Bulk | PBE-GGA | optimized geometry
# magnetic moment: 0.00 μB/f.u.
# E_form: -0.51 eV/atom
# E_tot: -4.62 eV per atom
data_Sm5Ga2Au
_chemical_formula_sum 'Sm20 Ga8 Au4'
_cell_length_a 7.596
_cell_length_b 7.596
_cell_length_c 15.181
_cell_angle_alpha 90.00
_cell_angle_beta 90.00
_cell_angle_gamma 90.00
_symmetry_space_group_name_H-M 'I 4/m c m'
_symmetry_Int_Tables_number 140
_symmetry_space_group_name_Hall '-I 4 2c'
loop_
_atom_site_label
_atom_site_type_symbol
_atom_site_fract_x
_atom_site_fract_y
_atom_site_fract_z
Sm1 Sm 0.000 0.000 0.000
Sm2 Sm 0.173 0.327 0.148
Ga1 Ga 0.119 0.381 0.500
Au1 Au 0.000 0.000 0.250

7.
# Sm4GaAu | Alexandria via LeMat-Bulk | PBE-GGA | optimized geometry
# magnetic moment: 0.00 μB/f.u.
# E_form: -0.29 eV/atom
# E_tot: -4.49 eV per atom
data_Sm4GaAu
_chemical_formula_sum 'Sm16 Ga4 Au4'
_cell_length_a 5.306
_cell_length_b 21.980
_cell_length_c 6.357
_cell_angle_alpha 90.00
_cell_angle_beta 90.00
_cell_angle_gamma 90.00
_symmetry_space_group_name_H-M 'C m c 21'
_symmetry_Int_Tables_number 36
_symmetry_space_group_name_Hall 'C 2c -2'
loop_
_atom_site_label
_atom_site_type_symbol
_atom_site_fract_x
_atom_site_fract_y
_atom_site_fract_z
Sm1 Sm 0.000 0.060 0.000
Sm2 Sm 0.000 0.191 0.280
Sm3 Sm 0.000 0.216 0.800
Sm4 Sm 0.000 0.381 0.062
Ga1 Ga 0.000 0.339 0.538
Au1 Au 0.000 0.073 0.511

8.
# SmGa2Au2 | Alexandria via LeMat-Bulk | PBE-GGA | optimized geometry
# magnetic moment: 0.00 μB/f.u.
# E_form: -0.61 eV/atom
# E_tot: -4.08 eV per atom
data_SmGa2Au2
_chemical_formula_sum 'Sm2 Ga4 Au4'
_cell_length_a 4.457
_cell_length_b 4.457
_cell_length_c 10.295
_cell_angle_alpha 90.00
_cell_angle_beta 90.00
_cell_angle_gamma 90.00
_symmetry_space_group_name_H-M 'I 4/m m m'
_symmetry_Int_Tables_number 139
_symmetry_space_group_name_Hall '-I 4 2'
loop_
_atom_site_label
_atom_site_type_symbol
_atom_site_fract_x
_atom_site_fract_y
_atom_site_fract_z
Sm1 Sm 0.000 0.000 0.000
Ga1 Ga 0.000 0.000 0.382
Au1 Au 0.000 0.500 0.250